(1)
Entry from Alexandria: a relaxed structure of Zn2TePt (PBE).

Structure (CIF):
```
data_Zn2TePt
_chemical_formula_sum 'Zn2 Te1 Pt1'
_cell_length_a 2.951
_cell_length_b 3.498
_cell_length_c 7.468
_cell_angle_alpha 90.00
_cell_angle_beta 90.00
_cell_angle_gamma 90.00
_symmetry_space_group_name_H-M 'P m m m'
_symmetry_Int_Tables_number 47
loop_
_symmetry_equiv_pos_as_xyz
'x,y,z'
'-x,-y,-z'
'-x,-y,z'
'x,y,-z'
'x,-y,-z'
'-x,y,z'
'-x,y,-z'
'x,-y,z'
loop_
_atom_site_label
_atom_site_type_symbol
_atom_site_fract_x
_atom_site_fract_y
_atom_site_fract_z
_atom_site_occupancy
Zn1 Zn 0.000 0.000 0.186 1
Te1 Te 0.500 0.500 0.500 1
Pt1 Pt 0.500 0.500 0.000 1
```

Summary:
M_tot = 0.000 μB per formula unit
raw formation energy = -0.107 eV/atom

---

(2)
Entry from Alexandria: a relaxed structure of CrOs2Pt (PBE).

Structure (CIF):
```
data_CrOs2Pt
_chemical_formula_sum 'Cr2 Os4 Pt2'
_cell_length_a 3.841
_cell_length_b 3.841
_cell_length_c 7.585
_cell_angle_alpha 90.00
_cell_angle_beta 90.00
_cell_angle_gamma 90.00
_symmetry_space_group_name_H-M 'I 4/m m m'
_symmetry_Int_Tables_number 139
_symmetry_space_group_name_Hall '-I 4 2'
loop_
_atom_site_label
_atom_site_type_symbol
_atom_site_fract_x
_atom_site_fract_y
_atom_site_fract_z
_atom_site_occupancy
Cr1 Cr 0.000 0.000 0.000 1
Os1 Os 0.000 0.500 0.250 1
Pt1 Pt 0.000 0.000 0.500 1
```

Summary:
M_tot = 0.013 μB per formula unit
energy relative to the elements = 0.072 eV/atom

---

(3)
Entry from Alexandria: a relaxed structure of Ba2SrCd (PBE).

Structure (CIF):
```
data_Ba2SrCd
_chemical_formula_sum 'Ba8 Sr4 Cd4'
_cell_length_a 5.987
_cell_length_b 5.987
_cell_length_c 21.711
_cell_angle_alpha 90.00
_cell_angle_beta 90.00
_cell_angle_gamma 90.00
_symmetry_space_group_name_H-M 'I 4/m m m'
_symmetry_Int_Tables_number 139
_symmetry_space_group_name_Hall '-I 4 2'
loop_
_atom_site_label
_atom_site_type_symbol
_atom_site_fract_x
_atom_site_fract_y
_atom_site_fract_z
_atom_site_occupancy
Ba1 Ba 0.000 0.000 0.155 1
Ba2 Ba 0.000 0.500 0.000 1
Sr1 Sr 0.000 0.000 0.339 1
Cd1 Cd 0.000 0.500 0.250 1
```

Summary:
M_tot = 0.000 μB per formula unit
energy relative to the elements = -0.160 eV/atom

---

(4)
Entry from Alexandria: a relaxed structure of Na2PrHg3 (PBE).

Structure (CIF):
```
data_Na2PrHg3
_chemical_formula_sum 'Na8 Pr4 Hg12'
_cell_length_a 5.329
_cell_length_b 16.026
_cell_length_c 7.573
_cell_angle_alpha 90.00
_cell_angle_beta 90.00
_cell_angle_gamma 90.00
_symmetry_space_group_name_H-M 'C m m m'
_symmetry_Int_Tables_number 65
_symmetry_space_group_name_Hall '-C 2 2'
loop_
_atom_site_label
_atom_site_type_symbol
_atom_site_fract_x
_atom_site_fract_y
_atom_site_fract_z
_atom_site_occupancy
Na1 Na 0.000 0.000 0.000 1
Na2 Na 0.000 0.000 0.500 1
Na3 Na 0.000 0.333 0.000 1
Pr1 Pr 0.000 0.337 0.500 1
Hg1 Hg 0.000 0.169 0.251 1
Hg2 Hg 0.000 0.500 0.244 1
```

Summary:
energy above the lowest structure with this stoichiometry = 27 meV per atom
M_tot = 0.000 μB per formula unit
energy relative to the elements = -0.299 eV/atom

---

(5)
Entry from Alexandria: a relaxed structure of LiCrCl2 (PBE).

Structure (CIF):
```
data_LiCrCl2
_chemical_formula_sum 'Li2 Cr2 Cl4'
_cell_length_a 3.548
_cell_length_b 6.739
_cell_length_c 7.356
_cell_angle_alpha 102.26
_cell_angle_beta 103.94
_cell_angle_gamma 90.09
_symmetry_space_group_name_H-M 'P 1'
_symmetry_Int_Tables_number 1
loop_
_symmetry_equiv_pos_as_xyz
'x,y,z'
loop_
_atom_site_label
_atom_site_type_symbol
_atom_site_fract_x
_atom_site_fract_y
_atom_site_fract_z
_atom_site_occupancy
Li1 Li 0.000 0.000 0.000 1
Li2 Li 0.243 0.097 0.486 1
Cr1 Cr 0.399 0.589 0.794 1
Cr2 Cr 0.536 0.585 0.063 1
Cl1 Cl 0.071 0.369 0.137 1
Cl2 Cl 0.380 0.933 0.760 1
Cl3 Cl 0.626 0.928 0.252 1
Cl4 Cl 0.807 0.369 0.615 1
```

Summary:
energy above the lowest structure with this stoichiometry = 54 meV per atom
M_tot = 0.031 μB per formula unit
raw formation energy = -0.976 eV/atom

---

(6)
Entry from Alexandria: a relaxed structure of CaTc2Rh (PBE).

Structure (CIF):
```
data_CaTc2Rh
_chemical_formula_sum 'Ca1 Tc2 Rh1'
_cell_length_a 2.727
_cell_length_b 2.727
_cell_length_c 8.982
_cell_angle_alpha 90.00
_cell_angle_beta 90.00
_cell_angle_gamma 90.00
_symmetry_space_group_name_H-M 'P 4/m m m'
_symmetry_Int_Tables_number 123
_symmetry_space_group_name_Hall '-P 4 2'
loop_
_atom_site_label
_atom_site_type_symbol
_atom_site_fract_x
_atom_site_fract_y
_atom_site_fract_z
_atom_site_occupancy
Ca1 Ca 0.000 0.000 0.000 1
Tc1 Tc 0.500 0.500 0.283 1
Rh1 Rh 0.000 0.000 0.500 1
```

Summary:
energy above the lowest structure with this stoichiometry = 215 meV per atom
M_tot = 0.000 μB per formula unit
energy relative to the elements = 0.385 eV/atom

---

(7)
Entry from Alexandria: a relaxed structure of PuMgPb2O8 (PBE).

Structure (CIF):
```
data_PuMgPb2O8
_chemical_formula_sum 'Pu2 Mg2 Pb4 O16'
_cell_length_a 7.165
_cell_length_b 7.201
_cell_length_c 6.561
_cell_angle_alpha 90.00
_cell_angle_beta 90.00
_cell_angle_gamma 90.00
_symmetry_space_group_name_H-M 'C m m m'
_symmetry_Int_Tables_number 65
_symmetry_space_group_name_Hall '-C 2 2'
loop_
_atom_site_label
_atom_site_type_symbol
_atom_site_fract_x
_atom_site_fract_y
_atom_site_fract_z
_atom_site_occupancy
Pu1 Pu 0.000 0.000 0.000 1
Mg1 Mg 0.000 0.000 0.500 1
Pb1 Pb 0.000 0.500 0.257 1
O1 O 0.000 0.182 0.234 1
O2 O 0.196 0.500 0.000 1
O3 O 0.204 0.500 0.500 1
```

Summary:
M_tot = 2.006 μB per formula unit
raw formation energy = -1.682 eV/atom

---

(8)
Entry from Alexandria: a relaxed structure of CuAgBiBr5 (PBE).

Structure (CIF):
```
data_CuAgBiBr5
_chemical_formula_sum 'Cu4 Ag4 Bi4 Br20'
_cell_length_a 7.963
_cell_length_b 13.136
_cell_length_c 10.498
_cell_angle_alpha 90.00
_cell_angle_beta 111.93
_cell_angle_gamma 90.00
_symmetry_space_group_name_H-M 'C 1 2/c 1'
_symmetry_Int_Tables_number 15
loop_
_symmetry_equiv_pos_as_xyz
'x,y,z'
'-x,-y,-z'
'-x,y,-z+1/2'
'x,-y,z+1/2'
'x+1/2,y+1/2,z'
'-x+1/2,-y+1/2,-z'
'-x+1/2,y+1/2,-z+1/2'
'x+1/2,-y+1/2,z+1/2'
loop_
_atom_site_label
_atom_site_type_symbol
_atom_site_fract_x
_atom_site_fract_y
_atom_site_fract_z
_atom_site_occupancy
Cu1 Cu 0.000 0.219 0.250 1
Ag1 Ag 0.000 0.069 0.750 1
Bi1 Bi 0.000 0.500 0.000 1
Br1 Br 0.000 0.406 0.750 1
Br2 Br 0.146 0.094 0.438 1
Br3 Br 0.183 0.321 0.153 1
```

Summary:
M_tot = 0.113 μB per formula unit
raw formation energy = -0.483 eV/atom

---

(9)
Entry from Alexandria: a relaxed structure of RuW3S (PBE).

Structure (CIF):
```
data_RuW3S
_chemical_formula_sum 'Ru1 W3 S1'
_cell_length_a 4.373
_cell_length_b 4.373
_cell_length_c 4.373
_cell_angle_alpha 90.00
_cell_angle_beta 90.00
_cell_angle_gamma 90.00
_symmetry_space_group_name_H-M 'P m -3 m'
_symmetry_Int_Tables_number 221
_symmetry_space_group_name_Hall '-P 4 2 3'
loop_
_atom_site_label
_atom_site_type_symbol
_atom_site_fract_x
_atom_site_fract_y
_atom_site_fract_z
_atom_site_occupancy
Ru1 Ru 0.000 0.000 0.000 1
W1 W 0.000 0.500 0.500 1
S1 S 0.500 0.500 0.500 1
```

Summary:
energy above the lowest structure with this stoichiometry = 0 meV per atom
M_tot = 0.000 μB per formula unit
raw formation energy = 1.006 eV/atom

---

(10)
Entry from Alexandria: a relaxed structure of Na2Cd3Sn4 (PBE).

Structure (CIF):
```
data_Na2Cd3Sn4
_chemical_formula_sum 'Na8 Cd12 Sn16'
_cell_length_a 5.858
_cell_length_b 10.170
_cell_length_c 16.161
_cell_angle_alpha 90.00
_cell_angle_beta 90.00
_cell_angle_gamma 90.00
_symmetry_space_group_name_H-M 'F m m m'
_symmetry_Int_Tables_number 69
_symmetry_space_group_name_Hall '-F 2 2'
loop_
_atom_site_label
_atom_site_type_symbol
_atom_site_fract_x
_atom_site_fract_y
_atom_site_fract_z
_atom_site_occupancy
Na1 Na 0.000 0.000 0.120 1
Cd1 Cd 0.000 0.000 0.500 1
Cd2 Cd 0.250 0.250 0.000 1
Sn1 Sn 0.000 0.163 0.328 1
```

Summary:
M_tot = 0.000 μB per formula unit
energy relative to the elements = -0.044 eV/atom

---

(11)
Entry from Alexandria: a relaxed structure of ZrCrInRu (PBE).

Structure (CIF):
```
data_ZrCrInRu
_chemical_formula_sum 'Zr4 Cr4 In4 Ru4'
_cell_length_a 6.525
_cell_length_b 6.525
_cell_length_c 6.525
_cell_angle_alpha 90.00
_cell_angle_beta 90.00
_cell_angle_gamma 90.00
_symmetry_space_group_name_H-M 'F -4 3 m'
_symmetry_Int_Tables_number 216
_symmetry_space_group_name_Hall 'F -4 2 3'
loop_
_atom_site_label
_atom_site_type_symbol
_atom_site_fract_x
_atom_site_fract_y
_atom_site_fract_z
_atom_site_occupancy
Zr1 Zr 0.000 0.000 0.000 1
Cr1 Cr 0.250 0.250 0.250 1
In1 In 0.000 0.000 0.500 1
Ru1 Ru 0.250 0.250 0.750 1
```

Summary:
M_tot = 3.003 μB per formula unit
energy relative to the elements = -0.195 eV/atom